Density functional theory data (PBE) for a relaxed LaNi2Sb crystal.

Unit cell a=4.1427 b=4.1481 c=5.2128 alpha=90.00 beta=90.00 gamma=90.00
Closest atoms and distances in Å follow each position.
Sites, in units of the cell vectors:
La 0.0000 0.0000 0.0000  8 Ni 3.17, 4 Sb 3.33
Ni 0.5000 0.5000 0.2294  1 Ni 2.39, 2 Sb 2.51
Ni 0.5000 0.5000 0.7706  1 Ni 2.39, 2 Sb 2.51
Sb 0.0000 0.5000 0.5000  4 Ni 2.51

Results
- V (Å³/atom) = 22.4
- E_form (uncorrected) (eV per atom) = -0.3642



Density functional theory data (PBE) for a relaxed LaNi2Sb crystal.

Unit cell a=4.4115 b=4.4458 c=4.4257 alpha=90.00 beta=111.25 gamma=90.00
Closest atoms and distances in Å follow each position.
Sites, in units of the cell vectors:
La 0.0000 0.0000 0.0000  2 Ni 2.54
Ni 0.2901 0.5000 0.7135  2 Ni 2.48, 3 Sb 2.56-2.72
Ni 0.4372 0.0000 0.5622  2 Ni 2.48, 2 La 2.54, 2 Sb 2.67
Sb 0.6408 0.5000 0.3611  5 Ni 2.56-2.72

Results
- V (Å³/atom) = 20.2
- E_form (uncorrected) (eV per atom) = -0.5154



Density functional theory data (PBE) for a relaxed LaNiSb2 crystal.

Unit cell a=4.5289 b=4.0810 c=5.8831 alpha=90.00 beta=105.02 gamma=90.00
Closest atoms and distances in Å follow each position.
Sites, in units of the cell vectors:
La 0.0000 0.0000 0.0000  4 Ni 3.12-3.24, 7 Sb 3.25-3.46
Ni 0.4279 0.5000 0.8409  3 Sb 2.51-2.58
Sb 0.3193 0.0000 0.5643  2 Ni 2.58
Sb 0.6011 0.5000 0.2827  1 Ni 2.51

Results
- V (Å³/atom) = 26.3
- E_form (uncorrected) (eV per atom) = -0.4198



Density functional theory data (PBE) for a relaxed LaNi2Sb crystal.

Unit cell a=4.8499 b=4.8499 c=4.8499 alpha=60.00 beta=60.00 gamma=60.00
Closest atoms and distances in Å follow each position.
Sites, in units of the cell vectors:
La 0.0000 0.0000 0.0000  4 Sb 2.97, 4 Ni 2.97
Ni 0.2500 0.2500 0.2500  4 La 2.97, 4 Ni 2.97
Ni 0.5000 0.5000 0.5000  4 Sb 2.97, 4 Ni 2.97
Sb 0.7500 0.7500 0.7500  4 Ni 2.97, 4 La 2.97

Results
- V (Å³/atom) = 20.2
- E_form (uncorrected) (eV per atom) = -0.0164



Density functional theory data (PBE) for a relaxed La2NiSb2 crystal.

Unit cell a=7.1652 b=7.1652 c=5.1038 alpha=90.00 beta=90.00 gamma=90.00
Closest atoms and distances in Å follow each position.
Sites, in units of the cell vectors:
La 0.1694 0.3306 0.0000  6 Sb 3.16-3.42, 1 La 3.43
La 0.3306 0.8306 0.0000  6 Sb 3.16-3.42, 1 La 3.43
La 0.6694 0.1694 0.0000  6 Sb 3.16-3.42, 1 La 3.43
La 0.8306 0.6694 0.0000  6 Sb 3.16-3.42, 1 La 3.43
Ni 0.0000 0.0000 0.5000  4 Sb 2.74
Ni 0.5000 0.5000 0.5000  4 Sb 2.74
Sb 0.1475 0.6475 0.5000  2 Ni 2.74, 1 Sb 2.99
Sb 0.3525 0.1475 0.5000  2 Ni 2.74, 1 Sb 2.99
Sb 0.6475 0.8525 0.5000  2 Ni 2.74, 1 Sb 2.99
Sb 0.8525 0.3525 0.5000  2 Ni 2.74, 1 Sb 2.99

Results
- V (Å³/atom) = 26.2
- E_form (uncorrected) (eV per atom) = -0.6714



Density functional theory data (PBE) for a relaxed LaNi4Sb2 crystal.

Unit cell a=17.2995 b=4.3486 c=6.8064 alpha=90.00 beta=90.00 gamma=90.00
Closest atoms and distances in Å follow each position.
Sites, in units of the cell vectors:
La 0.1407 0.2500 0.0439  3 Ni 2.77-3.04
La 0.3593 0.7500 0.5439  3 Ni 2.77-3.04
La 0.6407 0.2500 0.4561  3 Ni 2.77-3.04
La 0.8593 0.7500 0.9561  3 Ni 2.77-3.04
Ni 0.0092 0.7500 0.1093  3 Ni 2.56-2.65, 3 Sb 2.57-2.58, 1 La 2.79
Ni 0.0457 0.2500 0.5413  4 Sb 2.53-2.62, 3 Ni 2.56-2.75
Ni 0.1985 0.7500 0.7255  4 Sb 2.61-2.67, 3 Ni 2.65-2.75
Ni 0.2241 0.7500 0.3269  3 Sb 2.54-2.56, 3 Ni 2.65-2.75, 1 La 2.77
Ni 0.2759 0.2500 0.8269  3 Sb 2.54-2.56, 3 Ni 2.65-2.75, 1 La 2.77
Ni 0.3015 0.2500 0.2255  4 Sb 2.61-2.67, 3 Ni 2.65-2.75
Ni 0.4543 0.7500 0.0413  4 Sb 2.53-2.62, 3 Ni 2.56-2.75
Ni 0.4908 0.2500 0.6093  3 Ni 2.56-2.65, 3 Sb 2.57-2.58, 1 La 2.79
Ni 0.5092 0.7500 0.3907  3 Ni 2.56-2.65, 3 Sb 2.57-2.58, 1 La 2.79
Ni 0.5457 0.2500 0.9587  4 Sb 2.53-2.62, 3 Ni 2.56-2.75
Ni 0.6985 0.7500 0.7745  4 Sb 2.61-2.67, 3 Ni 2.65-2.75
Ni 0.7241 0.7500 0.1731  3 Sb 2.54-2.56, 3 Ni 2.65-2.75, 1 La 2.77
Ni 0.7759 0.2500 0.6731  3 Sb 2.54-2.56, 3 Ni 2.65-2.75, 1 La 2.77
Ni 0.8015 0.2500 0.2745  4 Sb 2.61-2.67, 3 Ni 2.65-2.75
Ni 0.9543 0.7500 0.4587  4 Sb 2.53-2.62, 3 Ni 2.56-2.75
Ni 0.9908 0.2500 0.8907  3 Ni 2.56-2.65, 3 Sb 2.57-2.58, 1 La 2.79
Sb 0.0476 0.7500 0.7452  7 Ni 2.53-2.61
Sb 0.1968 0.2500 0.5134  7 Ni 2.54-2.67
Sb 0.3032 0.7500 0.0134  7 Ni 2.54-2.67
Sb 0.4524 0.2500 0.2452  7 Ni 2.53-2.61
Sb 0.5476 0.7500 0.7548  7 Ni 2.53-2.61
Sb 0.6968 0.2500 0.9866  7 Ni 2.54-2.67
Sb 0.8032 0.7500 0.4866  7 Ni 2.54-2.67
Sb 0.9524 0.2500 0.2548  7 Ni 2.53-2.61

Results
- V (Å³/atom) = 18.3
- E_form (uncorrected) (eV per atom) = -0.3678



Density functional theory data (PBE) for a relaxed LaNiSb2 crystal.

Unit cell a=3.7510 b=3.7510 c=7.4708 alpha=90.00 beta=90.00 gamma=110.00
Closest atoms and distances in Å follow each position.
Sites, in units of the cell vectors:
La 0.0000 0.0000 0.0000  4 Sb 3.12
Ni 0.0000 0.0000 0.5000  4 Sb 2.61
Sb 0.5000 0.5000 0.3027  2 Ni 2.61
Sb 0.5000 0.5000 0.6973  2 Ni 2.61

Results
- V (Å³/atom) = 24.7
- E_form (uncorrected) (eV per atom) = -0.3827



Density functional theory data (PBE) for a relaxed La4NiSb crystal.

Unit cell a=6.4325 b=7.0067 c=8.4107 alpha=90.00 beta=96.02 gamma=90.00
Closest atoms and distances in Å follow each position.
Sites, in units of the cell vectors:
La 0.0885 0.2500 0.0614  1 Ni 2.77
La 0.1552 0.7500 0.3865  1 Ni 3.10, 1 Sb 3.30
La 0.3986 0.5013 0.7820  2 Ni 2.73-2.97
La 0.3986 0.9987 0.7820  2 Ni 2.73-2.97
La 0.6014 0.0013 0.2180  2 Ni 2.73-2.97
La 0.6014 0.4987 0.2180  2 Ni 2.73-2.97
La 0.8448 0.2500 0.6135  1 Ni 3.10, 1 Sb 3.30
La 0.9115 0.7500 0.9386  1 Ni 2.77
Ni 0.3304 0.7500 0.0575  5 La 2.73-2.97
Ni 0.6696 0.2500 0.9425  5 La 2.73-2.97
Sb 0.2849 0.2500 0.4440  8 La 3.30-3.62
Sb 0.7151 0.7500 0.5560  8 La 3.30-3.62

Results
- V (Å³/atom) = 31.4
- polymorph energy (0 for the lowest one) (eV/atom) = 0.000
- E_form (uncorrected) (eV per atom) = -0.5028



Density functional theory data (PBE) for a relaxed LaNi2Sb crystal.

Unit cell a=3.3880 b=3.3880 c=6.8365 alpha=90.00 beta=90.00 gamma=90.00
Closest atoms and distances in Å follow each position.
Sites, in units of the cell vectors:
La 0.0000 0.0000 0.0000  5 Ni 2.93-3.01
Ni 0.0000 0.0000 0.4396  4 Sb 2.68, 4 Ni 2.73
Ni 0.5000 0.5000 0.2474  1 Sb 2.51, 4 Ni 2.73
Sb 0.5000 0.5000 0.6146  5 Ni 2.51-2.68

Results
- V (Å³/atom) = 19.6
- E_form (uncorrected) (eV per atom) = -0.2177



Density functional theory data (PBE) for a relaxed LaNiSb2 crystal.

Unit cell a=4.9631 b=4.9631 c=6.3223 alpha=118.89 beta=118.89 gamma=50.34
Closest atoms and distances in Å follow each position.
Sites, in units of the cell vectors:
La 0.0000 0.0000 0.0000  6 Sb 3.20-3.37
Ni 0.5000 0.5000 0.5000  4 Sb 2.58
Sb 0.1943 0.1943 0.6684  2 Ni 2.58
Sb 0.8057 0.8057 0.3316  2 Ni 2.58

Results
- V (Å³/atom) = 25.3
- E_form (uncorrected) (eV per atom) = -0.4868



Density functional theory data (PBE) for a relaxed La2NiSb crystal.

Unit cell a=5.4092 b=5.4092 c=5.4092 alpha=126.89 beta=113.95 gamma=89.64
Closest atoms and distances in Å follow each position.
Sites, in units of the cell vectors:
La 0.2273 0.2273 0.0000  2 Ni 2.98, 2 Sb 3.20
La 0.7727 0.7727 0.0000  2 Ni 2.98, 2 Sb 3.20
Ni 0.0000 0.5000 0.5000  4 La 2.98
Sb 0.5000 0.0000 0.5000  8 La 3.20-3.43

Results
- V (Å³/atom) = 27.4
- E_form (uncorrected) (eV per atom) = -0.5314



Density functional theory data (PBE) for a relaxed La2Ni4SnSb3 crystal.

Unit cell a=4.4779 b=4.4779 c=10.2141 alpha=90.00 beta=90.00 gamma=90.00
Closest atoms and distances in Å follow each position.
Sites, in units of the cell vectors:
La 0.0000 0.5000 0.2382  8 Ni 3.31-3.45, 6 Sb 3.37-3.49, 2 Sn 3.49
La 0.5000 0.0000 0.7618  8 Ni 3.31-3.45, 6 Sb 3.37-3.49, 2 Sn 3.49
Ni 0.0000 0.0000 0.0000  4 Sb 2.58
Ni 0.0000 0.5000 0.6266  3 Sb 2.53-2.59, 2 Sn 2.59
Ni 0.5000 0.0000 0.3734  3 Sb 2.53-2.59, 2 Sn 2.59
Ni 0.5000 0.5000 0.0000  4 Sb 2.58
Sn 0.0000 0.0000 0.5000  4 Ni 2.59
Sb 0.0000 0.5000 0.8740  5 Ni 2.53-2.58
Sb 0.5000 0.0000 0.1260  5 Ni 2.53-2.58
Sb 0.5000 0.5000 0.5000  4 Ni 2.59

Results
- V (Å³/atom) = 20.5
- E_form (uncorrected) (eV per atom) = -0.6913



Density functional theory data (PBE) for a relaxed LaNiSn2Sb crystal.

Unit cell a=4.9172 b=4.9172 c=5.4387 alpha=90.00 beta=90.00 gamma=90.00
Closest atoms and distances in Å follow each position.
Sites, in units of the cell vectors:
La 0.0000 0.0000 0.0000  2 Ni 2.72
Ni 0.0000 0.0000 0.5000  4 Sn 2.46, 2 La 2.72
Sn 0.0000 0.5000 0.5000  2 Ni 2.46
Sn 0.5000 0.0000 0.5000  2 Ni 2.46
Sb 0.5000 0.5000 0.0000  4 La 3.48, 8 Sn 3.67

Results
- V (Å³/atom) = 26.3
- E_form (uncorrected) (eV per atom) = -0.4328



Density functional theory data (PBE) for a relaxed La2TiNiSb crystal.

Unit cell a=5.4272 b=5.4272 c=5.0629 alpha=90.00 beta=90.00 gamma=90.00
Closest atoms and distances in Å follow each position.
Sites, in units of the cell vectors:
La 0.0000 0.5000 0.0000  2 Ti 2.71
La 0.5000 0.0000 0.0000  2 Ti 2.71
Ti 0.0000 0.0000 0.0000  2 Sb 2.53, 4 La 2.71
Ni 0.5000 0.5000 0.5000  8 La 3.71, 4 Sb 3.84
Sb 0.0000 0.0000 0.5000  2 Ti 2.53

Results
- V (Å³/atom) = 29.8
- E_form (uncorrected) (eV per atom) = 0.4329



Density functional theory data (PBE) for a relaxed La2ZnNi3Sb4 crystal.

Unit cell a=4.5679 b=4.5679 c=10.2128 alpha=90.00 beta=90.00 gamma=90.00
Closest atoms and distances in Å follow each position.
Sites, in units of the cell vectors:
La 0.0000 0.5000 0.2474  7 Ni 3.41-3.77, 2 Zn 3.41, 8 Sb 3.42-3.45
La 0.5000 0.0000 0.7526  7 Ni 3.41-3.77, 2 Zn 3.41, 8 Sb 3.42-3.45
Zn 0.5000 0.5000 0.0000  4 Sb 2.68
Ni 0.0000 0.0000 0.0000  4 Sb 2.68
Ni 0.0000 0.5000 0.6170  5 Sb 2.52-2.58
Ni 0.5000 0.0000 0.3830  5 Sb 2.52-2.58
Sb 0.0000 0.0000 0.5000  4 Ni 2.58
Sb 0.0000 0.5000 0.8635  3 Ni 2.52-2.68, 2 Zn 2.68
Sb 0.5000 0.0000 0.1365  3 Ni 2.52-2.68, 2 Zn 2.68
Sb 0.5000 0.5000 0.5000  4 Ni 2.58

Results
- V (Å³/atom) = 21.3
- E_form (uncorrected) (eV per atom) = -0.6345



Density functional theory data (PBE) for a relaxed LaSc4Ni crystal.

Unit cell a=5.9620 b=5.9620 c=5.9620 alpha=60.00 beta=60.00 gamma=60.00
Closest atoms and distances in Å follow each position.
Sites, in units of the cell vectors:
La 0.0000 0.0000 0.0000  12 Sc 3.50, 4 Ni 3.65
Sc 0.3755 0.3755 0.3755  6 Sc 2.97-2.99
Sc 0.3755 0.3755 0.8735  6 Sc 2.97-2.99
Sc 0.3755 0.8735 0.3755  6 Sc 2.97-2.99
Sc 0.8735 0.3755 0.3755  6 Sc 2.97-2.99
Ni 0.7500 0.7500 0.7500  12 Sc 3.49, 4 La 3.65

Results
- V (Å³/atom) = 25.0
- DFT formation energy (eV per atom) = 0.478



Density functional theory data (PBE) for a relaxed LaSc3Ni crystal.

Unit cell a=5.1001 b=5.1001 c=5.1001 alpha=90.00 beta=90.00 gamma=90.00
Closest atoms and distances in Å follow each position.
Sites, in units of the cell vectors:
La 0.0000 0.0000 0.0000  6 Sc 2.55
Sc 0.0000 0.0000 0.5000  2 La 2.55
Sc 0.0000 0.5000 0.0000  2 La 2.55
Sc 0.5000 0.0000 0.0000  2 La 2.55
Ni 0.5000 0.5000 0.5000  12 Sc 3.61

Results
- V (Å³/atom) = 26.5
- polymorph energy (0 for the lowest one) (eV/atom) = 1.387
- DFT formation energy (eV per atom) = 1.258



Density functional theory data (PBE) for a relaxed La2ScNi crystal.

Unit cell a=6.1586 b=6.1586 c=6.1586 alpha=144.65 beta=127.71 gamma=64.70
Closest atoms and distances in Å follow each position.
Sites, in units of the cell vectors:
La 0.2003 0.2003 0.0000  2 Ni 2.80
La 0.7997 0.7997 0.0000  2 Ni 2.80
Sc 0.5000 0.0000 0.5000  4 Ni 3.30, 8 La 3.42-3.64
Ni 0.0000 0.5000 0.5000  4 La 2.80

Results
- V (Å³/atom) = 26.4
- polymorph energy (0 for the lowest one) (eV/atom) = 0.113
- DFT formation energy (eV per atom) = -0.018



Density functional theory data (PBE) for a relaxed La2ScNi crystal.

Unit cell a=3.6850 b=3.6720 c=7.8396 alpha=90.00 beta=90.13 gamma=90.00
Closest atoms and distances in Å follow each position.
Sites, in units of the cell vectors:
La 0.0008 0.0000 0.2902  4 Ni 3.07-3.08, 1 La 3.29
La 0.9992 0.0000 0.7098  4 Ni 3.07-3.08, 1 La 3.29
Sc 0.5000 0.5000 0.0000  8 La 3.45-3.46, 4 Sc 3.67-3.69
Ni 0.5000 0.5000 0.5000  8 La 3.07-3.08

Results
- V (Å³/atom) = 26.5
- polymorph energy (0 for the lowest one) (eV/atom) = 0.077
- DFT formation energy (eV per atom) = -0.054



Density functional theory data (PBE) for a relaxed La2ScNi crystal.

Unit cell a=3.7526 b=7.9582 c=7.9582 alpha=28.13 beta=90.00 gamma=90.00
Closest atoms and distances in Å follow each position.
Sites, in units of the cell vectors:
La 0.0000 0.0000 0.0000  4 Sc 3.43, 6 La 3.75-3.84, 1 Ni 3.78
La 0.5000 0.3232 0.3232  4 Ni 2.89
Sc 0.5000 0.6373 0.6373  2 Ni 2.61
Ni 0.0000 0.7551 0.7551  2 Sc 2.61, 4 La 2.89

Results
- V (Å³/atom) = 28.0
- polymorph energy (0 for the lowest one) (eV/atom) = 0.090
- DFT formation energy (eV per atom) = -0.041